DFT (PBE) results for a relaxed structure of CdCo.

The structure in CIF format:
```
data_CdCo
_cell_length_a 5.2385
_cell_length_b 5.2385
_cell_length_c 5.2449
_cell_angle_alpha 90.00
_cell_angle_beta 90.00
_cell_angle_gamma 90.00
_space_group_name_H-M_alt 'P 42/m n m'
_space_group_IT_number 136
_space_group_name_Hall '-P 4n 2n'
loop_
_atom_site_label
_atom_site_type_symbol
_atom_site_fract_x
_atom_site_fract_y
_atom_site_fract_z
Cd1 Cd 0.1848 0.1848 0.0000
Co1 Co 0.1557 0.1557 0.5000
```

Values from the calculation:
The volume comes out at 17.99 Å³/atom. The formation energy is 703 meV/atom.



DFT (PBE) results for a relaxed structure of Er2Al6Ag9.

The structure in CIF format:
```
data_Er2Al6Ag9
_cell_length_a 5.6417
_cell_length_b 5.6417
_cell_length_c 12.7817
_cell_angle_alpha 90.00
_cell_angle_beta 90.00
_cell_angle_gamma 120.00
_space_group_name_H-M_alt 'P 6/m m m'
_space_group_IT_number 191
_space_group_name_Hall '-P 6 2'
loop_
_atom_site_label
_atom_site_type_symbol
_atom_site_fract_x
_atom_site_fract_y
_atom_site_fract_z
Er1 Er 0.0000 0.0000 0.1630
Al1 Al 0.3333 0.6667 0.1647
Al2 Al 0.3333 0.6667 0.5000
Ag1 Ag 0.0000 0.5000 0.0000
Ag2 Ag 0.0000 0.5000 0.3317
```

Values from the calculation:
The volume comes out at 20.72 Å³/atom. The formation energy is -76 meV/atom.



DFT (PBE) results for a relaxed structure of MgInCl2.

The structure in CIF format:
```
data_MgInCl2
_cell_length_a 3.3848
_cell_length_b 3.3848
_cell_length_c 8.3549
_cell_angle_alpha 90.00
_cell_angle_beta 90.00
_cell_angle_gamma 90.00
_space_group_name_H-M_alt 'P 4 m m'
_space_group_IT_number 99
loop_
_space_group_symop_operation_xyz
'x,y,z'
'-y,x,z'
'-x,-y,z'
'y,-x,z'
'-x,y,z'
'y,x,z'
'x,-y,z'
'-y,-x,z'
loop_
_atom_site_label
_atom_site_type_symbol
_atom_site_fract_x
_atom_site_fract_y
_atom_site_fract_z
Mg1 Mg 0.0000 0.0000 0.0000
In1 In 0.5000 0.5000 0.7266
Cl1 Cl 0.0000 0.0000 0.5181
Cl2 Cl 0.5000 0.5000 0.1465
```

Values from the calculation:
The volume comes out at 23.93 Å³/atom. The energy above the lowest structure with this stoichiometry is 413 meV per atom. The uncorrected formation energy is -818 meV per atom.



DFT (PBE) results for a relaxed structure of LuPuNiAg.

The structure in CIF format:
```
data_LuPuNiAg
_cell_length_a 6.9931
_cell_length_b 6.9931
_cell_length_c 6.9931
_cell_angle_alpha 90.00
_cell_angle_beta 90.00
_cell_angle_gamma 90.00
_space_group_name_H-M_alt 'F -4 3 m'
_space_group_IT_number 216
_space_group_name_Hall 'F -4 2 3'
loop_
_atom_site_label
_atom_site_type_symbol
_atom_site_fract_x
_atom_site_fract_y
_atom_site_fract_z
Lu1 Lu 0.0000 0.0000 0.0000
Pu1 Pu 0.0000 0.0000 0.5000
Ni1 Ni 0.2500 0.2500 0.7500
Ag1 Ag 0.2500 0.2500 0.2500
```

Values from the calculation:
The volume comes out at 21.37 Å³/atom. The formation energy is -75 meV/atom.



DFT (PBE) results for a relaxed structure of CoPd2Rh.

The structure in CIF format:
```
data_CoPd2Rh
_cell_length_a 6.1336
_cell_length_b 6.1336
_cell_length_c 6.1336
_cell_angle_alpha 90.00
_cell_angle_beta 90.00
_cell_angle_gamma 90.00
_space_group_name_H-M_alt 'F m -3 m'
_space_group_IT_number 225
_space_group_name_Hall '-F 4 2 3'
loop_
_atom_site_label
_atom_site_type_symbol
_atom_site_fract_x
_atom_site_fract_y
_atom_site_fract_z
Co1 Co 0.0000 0.0000 0.0000
Pd1 Pd 0.2500 0.2500 0.2500
Rh1 Rh 0.0000 0.0000 0.5000
```

Values from the calculation:
The volume comes out at 14.42 Å³/atom. The formation energy is 257 meV/atom. The energy above the lowest structure with this stoichiometry is 156 meV per atom.



DFT (PBE) results for a relaxed structure of MnBeSe2.

The structure in CIF format:
```
data_MnBeSe2
_cell_length_a 8.0387
_cell_length_b 11.8726
_cell_length_c 5.6239
_cell_angle_alpha 90.00
_cell_angle_beta 134.33
_cell_angle_gamma 90.00
_space_group_name_H-M_alt 'C 1 2/c 1'
_space_group_IT_number 15
loop_
_space_group_symop_operation_xyz
'x,y,z'
'-x,-y,-z'
'-x,y,-z+1/2'
'x,-y,z+1/2'
'x+1/2,y+1/2,z'
'-x+1/2,-y+1/2,-z'
'-x+1/2,y+1/2,-z+1/2'
'x+1/2,-y+1/2,z+1/2'
loop_
_atom_site_label
_atom_site_type_symbol
_atom_site_fract_x
_atom_site_fract_y
_atom_site_fract_z
Mn1 Mn 0.0000 0.2503 0.2500
Be1 Be 0.0000 0.2505 0.7500
Se1 Se 0.2495 0.1360 0.7903
```

Values from the calculation:
The volume comes out at 24.00 Å³/atom. The uncorrected formation energy is -463 meV per atom.